# 1
Computed, not measured: a relaxed LiSmLuGe crystal at the GGA-PBE level of DFT.

Its energy of formation from the pure elements is -0.3868 eV/atom. For the raw total energy, the calculation gives -4.330 eV/atom. The space group is F-43m. The volume is 89.5 Å³/f.u.

The structure in POSCAR format:
```
LiSmLuGe
1.0
-0.453 -4.444 2.291
-0.671 -4.168 -2.717
3.686 -3.390 -0.348
Ge Lu Sm Li
1 1 1 1
Direct
0.250 0.250 0.250
0.000 0.000 0.000
0.500 0.500 0.500
0.750 0.750 0.750
```

---

# 2
Computed, not measured: a relaxed TbCeAg crystal at the GGA-PBE level of DFT.

Its energy of formation from the pure elements is -0.0605 eV/atom. The energy relative to the lowest polymorph listed for this composition is 0.0455 eV per atom. For the raw total energy, the calculation gives -4.532 eV/atom. The space group is I4mm. The volume is 82.1 Å³/f.u.

The structure in POSCAR format:
```
TbCeAg
1.0
3.531 0.000 0.000
0.000 3.531 0.000
-1.766 -1.766 6.587
Tb Ag Ce
1 1 1
Direct
0.315 0.315 0.630
0.673 0.673 0.346
0.012 0.012 0.024
```

---

# 3
Computed, not measured: a relaxed Hf8Zn2Pb crystal at the GGA-PBE level of DFT.

Its energy of formation from the pure elements is 0.0821 eV/atom. For the raw total energy, the calculation gives -7.725 eV/atom. The space group is C2/m. The volume is 240.9 Å³/f.u.

The structure in POSCAR format:
```
Hf8Zn2Pb
1.0
5.170 -0.147 -0.221
-1.075 7.296 -0.311
-1.075 -3.097 6.614
Hf Zn Pb
8 2 1
Direct
0.885 0.917 0.676
0.885 0.676 0.917
0.301 0.587 0.587
0.500 0.755 0.245
0.500 0.245 0.755
0.699 0.413 0.413
0.115 0.324 0.083
0.115 0.083 0.324
0.000 0.307 0.693
0.000 0.693 0.307
0.500 0.000 0.000
```

---

# 4
Computed, not measured: a relaxed Pr8Ni2Os crystal at the GGA-PBE level of DFT.

Its energy of formation from the pure elements is -0.0735 eV/atom. The energy relative to the lowest polymorph listed for this composition is 0.0000 eV per atom. For the raw total energy, the calculation gives -5.622 eV/atom. The space group is C2/m. The volume is 312.6 Å³/f.u.

The structure in POSCAR format:
```
Pr8Ni2Os
1.0
5.181 0.000 0.000
0.000 6.817 0.514
-2.590 -2.299 8.678
Pr Ni Os
8 2 1
Direct
0.414 0.573 0.828
0.668 0.966 0.337
0.799 0.660 0.598
0.959 0.208 0.918
0.201 0.340 0.402
0.332 0.034 0.663
0.586 0.427 0.172
0.041 0.792 0.082
0.799 0.260 0.598
0.201 0.740 0.402
0.500 0.000 0.000
```

---

# 5
Computed, not measured: a relaxed PaRe2Pt crystal at the GGA-PBE level of DFT.

Its energy of formation from the pure elements is -0.1926 eV/atom. For the raw total energy, the calculation gives -10.301 eV/atom. The space group is P4/mmm. The volume is 70.3 Å³/f.u.

The structure in POSCAR format:
```
PaRe2Pt
1.0
-2.747 -1.621 2.638
2.433 -3.285 0.514
1.893 1.892 3.133
Re Pa Pt
2 1 1
Direct
0.000 0.000 0.500
0.000 0.500 0.000
0.500 0.000 0.000
0.500 0.500 0.500
```

---

# 6
Computed, not measured: a relaxed Tl2GaTe2 crystal at the GGA-PBE level of DFT.

The energy relative to the lowest polymorph listed for this composition is 0.2158 eV per atom. For the raw total energy, the calculation gives -2.890 eV/atom. The space group is P4/mbm. The volume is 165.3 Å³/f.u.

The structure in POSCAR format:
```
Tl2GaTe2
1.0
-8.065 1.393 0.974
-1.558 -7.948 -1.528
0.402 -0.991 4.747
Tl Te Ga
4 4 2
Direct
0.140 0.640 0.500
0.640 0.860 0.500
0.860 0.360 0.500
0.360 0.140 0.500
0.323 0.823 0.000
0.823 0.677 0.000
0.677 0.177 0.000
0.177 0.323 0.000
0.000 0.000 0.000
0.500 0.500 0.000
```

---

# 7
Computed, not measured: a relaxed B3HIr crystal at the GGA-PBE level of DFT.

The energy relative to the lowest polymorph listed for this composition is 0.1040 eV per atom. For the raw total energy, the calculation gives -5.247 eV/atom. The space group is Pm-3m. The volume is 36.7 Å³/f.u.

The structure in POSCAR format:
```
B3HIr
1.0
-2.013 -1.573 2.128
2.155 0.579 2.465
-1.537 2.871 0.669
H B Ir
1 3 1
Direct
0.000 0.000 0.000
0.000 0.500 0.000
0.000 0.000 0.500
0.500 0.000 0.000
0.500 0.500 0.500
```

---

# 8
Computed, not measured: a relaxed Hf2Ni2Pb crystal at the GGA-PBE level of DFT.

Its energy of formation from the pure elements is -0.1129 eV/atom. For the raw total energy, the calculation gives -7.148 eV/atom. The space group is I4/mmm. The volume is 97.4 Å³/f.u.

The structure in POSCAR format:
```
Hf2Ni2Pb
1.0
4.356 0.000 0.000
0.000 4.356 0.000
2.178 2.178 5.136
Pb Ni Hf
1 2 2
Direct
0.000 0.000 0.000
0.386 0.386 0.228
0.614 0.614 0.772
0.750 0.250 0.500
0.250 0.750 0.500
```

---

Q: Which formula does entry 5 have?
A: PaRe2Pt

---

Q: What is the raw total energy in the seventh record?
A: -5.247 eV/atom